1.
{"formula": "V4W3", "functional": "PBE", "state": "optimized geometry", "dft_energy_ha_per_atom": -0.3848, "e_form_kj_per_mol_atoms": 28, "magmom_total_mub_per_atom": 0.00, "sg": "No. 176", "lattice": [[7.306, 0.000, 0.000], [-3.653, 6.327, 0.000], [0.000, 0.000, 4.547]], "species": ["V", "V", "V", "V", "V", "V", "V", "V", "W", "W", "W", "W", "W", "W"], "frac_coords": [[0.110, 0.521, 0.250], [0.333, 0.667, 0.750], [0.411, 0.890, 0.250], [0.479, 0.589, 0.250], [0.521, 0.411, 0.750], [0.589, 0.110, 0.750], [0.667, 0.333, 0.250], [0.890, 0.479, 0.750], [0.115, 0.260, 0.750], [0.145, 0.885, 0.750], [0.260, 0.145, 0.250], [0.740, 0.855, 0.750], [0.855, 0.115, 0.250], [0.885, 0.740, 0.250]]}

2.
{"formula": "VW", "functional": "PBE", "state": "optimized geometry", "dft_energy_ha_per_atom": -0.3449, "e_form_kj_per_mol_atoms": 159, "magmom_total_mub_per_atom": 0.00, "sg": "No. 194", "lattice": [[4.221, 0.000, 0.000], [-2.111, 3.656, 0.000], [0.000, 0.000, 5.111]], "species": ["V", "V", "W", "W"], "frac_coords": [[0.333, 0.667, 0.250], [0.667, 0.333, 0.750], [0.333, 0.667, 0.750], [0.667, 0.333, 0.250]]}